Record 1
Material: RbBa6Sr2
Method: DFT, PBE
State: relaxed

The structure belongs to space group P-6m2 (No. 187); the cell edges are 4.4094, 4.4094 and 34.0244 Å and the angles 90.00°, 90.00° and 120.00°. Symmetry generates all atoms from Rb at (0.0000, 0.0000, 0.0000), Ba at (0.0000, 0.0000, 0.2279), Ba at (0.0000, 0.0000, 0.4399), Ba at (0.6667, 0.3333, 0.1200) and Sr at (0.6667, 0.3333, 0.3340).

The value obtained for the energy relative to the elements is 62 meV/atom.

Record 2
Material: CaNb2Sb2
Method: DFT, PBE
State: relaxed

The structure belongs to space group P4/mbm (No. 127); the cell edges are 7.967, 7.967 and 3.532 Å and the angles 90.00°, 90.00° and 90.00°. Symmetry generates all atoms from Ca at (0.000, 0.000, 0.000), Nb at (0.140, 0.360, 0.500) and Sb at (0.148, 0.648, 0.000).

For the excess energy over the best structure of this formula in the dataset, the calculation gives 162 meV per atom. Its uncorrected formation energy is -196 meV/atom.

Record 3
Material: FeBIr3
Method: DFT, PBE
State: relaxed

The structure belongs to space group C2/m (No. 12); the cell edges are 12.498, 2.744 and 7.282 Å and the angles 90.00°, 91.64° and 90.00°. Symmetry generates all atoms from Fe at (0.087, 0.000, 0.440), B at (0.212, 0.500, 0.909), Ir at (0.056, 0.500, 0.752), Ir at (0.117, 0.000, 0.076) and Ir at (0.250, 0.000, 0.665).

For the excess energy over the best structure of this formula in the dataset, the calculation gives 0 meV per atom. The value obtained for the energy relative to the elements is 2 meV/atom.

Record 4
Material: TaAu2Br
Method: DFT, PBE
State: relaxed

The structure belongs to space group Cm (No. 8); the cell edges are 9.085, 3.104 and 5.605 Å and the angles 90.00°, 101.64° and 90.00°. Symmetry generates all atoms from Ta at (0.000, 0.000, 0.000), Au at (0.238, 0.500, 0.274), Au at (0.491, 0.000, 0.498) and Br at (0.264, 0.000, 0.810).

For the excess energy over the best structure of this formula in the dataset, the calculation gives 257 meV per atom. Its uncorrected formation energy is 259 meV/atom.

Record 5
Material: Tm3ThZn4
Method: DFT, PBE
State: relaxed

The structure belongs to space group P4/mmm (No. 123); the cell edges are 5.010, 5.010 and 7.203 Å and the angles 90.00°, 90.00° and 90.00°. Symmetry generates all atoms from Tm at (0.000, 0.000, 0.000), Tm at (0.000, 0.000, 0.500), Tm at (0.500, 0.500, 0.000), Th at (0.500, 0.500, 0.500) and Zn at (0.000, 0.500, 0.239).

The value obtained for the energy relative to the elements is -290 meV/atom.

Record 6
Material: SiMo2
Method: DFT, PBE
State: relaxed

The structure belongs to space group Fm-3m (No. 225); the cell edges are 5.844, 5.844 and 5.844 Å and the angles 90.00°, 90.00° and 90.00°. Symmetry generates all atoms from Si at (0.000, 0.000, 0.000) and Mo at (0.250, 0.250, 0.250).

For the excess energy over the best structure of this formula in the dataset, the calculation gives 648 meV per atom. Its uncorrected formation energy is 322 meV/atom.

Number 1: Fermi-level density of states 1.57 states/eV/atom. Number 2: Fermi-level density of states 0.61 states/eV/atom. Number 3: Fermi-level density of states 0.90 states/eV/atom. Number 4: Fermi-level density of states 0.44 states/eV/atom. Number 5: Fermi-level density of states 1.04 states/eV/atom. Number 6: Fermi-level density of states 1.42 states/eV/atom.